The following is a PBE with a Hubbard U calculation of HfVPbO6 after structural relaxation, from Alexandria.

## Properties
* N(E_F): 3.396 states/eV/cell
* spin magnetization: 0.00 μB/cell
* E_tot: -7.7371 eV per atom

Lattice parameters (Å, degrees): 5.2934 5.2934 4.9165 90.00 90.00 120.00
Sites, in units of the cell vectors:
Hf (0.0000, 0.0000, 0.0000)
V (0.3333, 0.6667, 0.0000)
Pb (0.6667, 0.3333, 0.5000)
O (0.0467, 0.3561, 0.2175)
O (0.0467, 0.6906, 0.7825)
O (0.3094, 0.3561, 0.7825)
O (0.3094, 0.9533, 0.2175)
O (0.6439, 0.6906, 0.2175)
O (0.6439, 0.9533, 0.7825)